Here is a relaxed structure of ZrHgH from the Alexandria database. Energies are from PBE.

Cell lengths 3.2188, 3.2188, 8.9564 Å; angles 90.00, 90.00, 90.00 degrees
Sites, in units of the cell vectors:
Zr1 0.2500 0.2500 0.1494
Zr2 0.7500 0.7500 0.8506
Hg1 0.2500 0.2500 0.6203
Hg2 0.7500 0.7500 0.3797
H1 0.2500 0.7500 0.0000
H2 0.7500 0.2500 0.0000

Spin magnetization ... 0.0 Bohr magnetons per cell
Excess energy over the best structure of this formula in the dataset ... 0.000 eV per formula unit
Raw total energy ... -4.371 eV/atom
Space group ... P4/nmm (129)

***

Here is a relaxed structure of Ac8SiPd3Br4 from the Alexandria database. Energies are from PBE.

Cell lengths 9.5511, 9.5511, 9.5511 Å; angles 56.19, 56.19, 56.19 degrees
Sites, in units of the cell vectors:
Ac1 0.2303 0.7378 0.7378
Ac2 0.2340 0.2340 0.2340
Ac3 0.2622 0.2622 0.7697
Ac4 0.2622 0.7697 0.2622
Ac5 0.7378 0.2303 0.7378
Ac6 0.7378 0.7378 0.2303
Ac7 0.7660 0.7660 0.7660
Ac8 0.7697 0.2622 0.2622
Si1 0.5000 0.5000 0.5000
Pd1 0.0000 0.0000 0.5000
Pd2 0.0000 0.5000 0.0000
Pd3 0.5000 0.0000 0.0000
Br1 0.0000 0.0000 0.0000
Br2 0.0000 0.5000 0.5000
Br3 0.5000 0.0000 0.5000
Br4 0.5000 0.5000 0.0000

Spin magnetization ... 0.0 Bohr magnetons per cell
Raw total energy ... -4.816 eV/atom
Space group ... R-3m (166)

***

Here is a relaxed structure of La2CuHRh from the Alexandria database. Energies are from PBE.

Cell lengths 5.0571, 5.0571, 3.7732 Å; angles 90.00, 90.00, 90.00 degrees
Sites, in units of the cell vectors:
La1 0.0000 0.5000 0.0000
La2 0.5000 0.0000 0.0000
Cu1 0.0000 0.0000 0.5000
H1 0.0000 0.0000 0.0000
Rh1 0.5000 0.5000 0.5000

Spin magnetization ... 0.0 Bohr magnetons per cell
Excess energy over the best structure of this formula in the dataset ... 0.071 eV per formula unit
Raw total energy ... -5.358 eV/atom
Space group ... P4/mmm (123)

***

Here is a relaxed structure of CdSe2BrN from the Alexandria database. Energies are from PBE.

Cell lengths 5.3883, 5.3883, 3.7771 Å; angles 90.00, 90.00, 90.00 degrees
Sites, in units of the cell vectors:
Cd1 0.0000 0.0000 0.0000
Se1 0.0000 0.5000 0.5000
Se2 0.5000 0.0000 0.5000
Br1 0.5000 0.5000 0.5000
N1 0.5000 0.5000 0.0000

Spin magnetization ... 0.0 Bohr magnetons per cell
Excess energy over the best structure of this formula in the dataset ... 2.257 eV per formula unit
Raw total energy ... -2.330 eV/atom
Space group ... P4/mmm (123)

***

Here is a relaxed structure of RbNa2GeOs from the Alexandria database. Energies are from PBE.

Cell lengths 5.6433, 5.6433, 4.7472 Å; angles 90.00, 90.00, 90.00 degrees
Sites, in units of the cell vectors:
Rb1 0.0000 0.0000 0.0000
Na1 0.0000 0.5000 0.5000
Na2 0.5000 0.0000 0.5000
Ge1 0.5000 0.5000 0.5000
Os1 0.5000 0.5000 0.0000

Spin magnetization ... 0.9 Bohr magnetons per cell
Raw total energy ... -3.347 eV/atom
Space group ... P4/mmm (123)

***

Here is a relaxed structure of La3ZnBr3 from the Alexandria database. Energies are from PBE.

Cell lengths 6.1328, 6.1328, 6.1328 Å; angles 90.00, 90.00, 90.00 degrees
Sites, in units of the cell vectors:
La1 0.0000 0.0000 0.5000
La2 0.0000 0.5000 0.0000
La3 0.5000 0.0000 0.0000
Zn1 0.0000 0.0000 0.0000
Br1 0.0000 0.5000 0.5000
Br2 0.5000 0.0000 0.5000
Br3 0.5000 0.5000 0.0000

Spin magnetization ... 0.0 Bohr magnetons per cell
Raw total energy ... -4.287 eV/atom
Space group ... Pm-3m (221)

***

Here is a relaxed structure of LaMoBr3 from the Alexandria database. Energies are from PBE.

Cell lengths 5.1538, 5.1538, 5.1538 Å; angles 90.00, 90.00, 90.00 degrees
Sites, in units of the cell vectors:
La1 0.0000 0.0000 0.0000
Mo1 0.5000 0.5000 0.5000
Br1 0.0000 0.5000 0.5000
Br2 0.5000 0.0000 0.5000
Br3 0.5000 0.5000 0.0000

Spin magnetization ... 1.6 Bohr magnetons per cell
Excess energy over the best structure of this formula in the dataset ... 0.734 eV per formula unit
Raw total energy ... -4.334 eV/atom
Space group ... Pm-3m (221)

***

Here is a relaxed structure of MgTl6Se4 from the Alexandria database. Energies are from PBE.

Cell lengths 10.6205, 10.6205, 7.3599 Å; angles 90.00, 90.00, 120.00 degrees
Sites, in units of the cell vectors:
Mg1 0.3333 0.6667 0.0000
Mg2 0.6667 0.3333 0.5000
Tl1 0.0616 0.5308 0.3743
Tl2 0.1544 0.3088 0.6971
Tl3 0.1544 0.8456 0.6971
Tl4 0.3088 0.1544 0.1971
Tl5 0.4692 0.5308 0.3743
Tl6 0.4692 0.9384 0.3743
Tl7 0.5308 0.0616 0.8743
Tl8 0.5308 0.4692 0.8743
Tl9 0.6912 0.8456 0.6971
Tl10 0.8456 0.1544 0.1971
Tl11 0.8456 0.6912 0.1971
Tl12 0.9384 0.4692 0.8743
Se1 0.1971 0.3942 0.1111
Se2 0.1971 0.8029 0.1111
Se3 0.3333 0.6667 0.6438
Se4 0.3942 0.1971 0.6111
Se5 0.6058 0.8029 0.1111
Se6 0.6667 0.3333 0.1438
Se7 0.8029 0.1971 0.6111
Se8 0.8029 0.6058 0.6111

Spin magnetization ... 0.0 Bohr magnetons per cell
Raw total energy ... -3.206 eV/atom
Space group ... P6_3mc (186)

***

Here is a relaxed structure of YGa3Si from the Alexandria database. Energies are from PBE.

Cell lengths 6.9769, 6.9769, 7.0755 Å; angles 91.96, 91.96, 35.06 degrees
Sites, in units of the cell vectors:
Y1 0.1387 0.1387 0.4921
Y2 0.8613 0.8613 0.5079
Ga1 0.0569 0.0569 0.8710
Ga2 0.3049 0.3049 0.1889
Ga3 0.3234 0.3234 0.8240
Ga4 0.6766 0.6766 0.1760
Ga5 0.6951 0.6951 0.8111
Ga6 0.9431 0.9431 0.1290
Si1 0.4983 0.4983 0.3338
Si2 0.5017 0.5017 0.6662

Spin magnetization ... 0.0 Bohr magnetons per cell
Excess energy over the best structure of this formula in the dataset ... 0.000 eV per formula unit
Raw total energy ... -4.534 eV/atom
Space group ... C2/m (12)

***

Here is a relaxed structure of La4PuTh3P8 from the Alexandria database. Energies are from PBE.

Cell lengths 8.3975, 8.3975, 8.3975 Å; angles 59.79, 59.79, 59.79 degrees
Sites, in units of the cell vectors:
La1 0.0000 0.0000 0.0000
La2 0.0000 0.5000 0.5000
La3 0.5000 0.0000 0.5000
La4 0.5000 0.5000 0.0000
Pu1 0.5000 0.5000 0.5000
Th1 0.0000 0.0000 0.5000
Th2 0.0000 0.5000 0.0000
Th3 0.5000 0.0000 0.0000
P1 0.2467 0.2467 0.2467
P2 0.2484 0.7448 0.7448
P3 0.2552 0.2552 0.7516
P4 0.2552 0.7516 0.2552
P5 0.7448 0.2484 0.7448
P6 0.7448 0.7448 0.2484
P7 0.7516 0.2552 0.2552
P8 0.7533 0.7533 0.7533

Spin magnetization ... 5.4 Bohr magnetons per cell
Raw total energy ... -7.757 eV/atom
Space group ... R-3m (166)

***

Here is a relaxed structure of Mn5Os from the Alexandria database. Energies are from PBE.

Cell lengths 4.6313, 4.6313, 4.6313 Å; angles 60.00, 60.00, 60.00 degrees
Sites, in units of the cell vectors:
Mn1 0.0000 0.0000 0.0000
Mn2 0.3743 0.3743 0.3743
Mn3 0.3743 0.3743 0.8770
Mn4 0.3743 0.8770 0.3743
Mn5 0.8770 0.3743 0.3743
Os1 0.7500 0.7500 0.7500

Spin magnetization ... 0.6 Bohr magnetons per cell
Raw total energy ... -9.452 eV/atom
Space group ... F-43m (216)

***

Here is a relaxed structure of UTi2In from the Alexandria database. Energies are from PBE.

Cell lengths 3.3901, 3.3901, 6.6547 Å; angles 90.00, 90.00, 90.00 degrees
Sites, in units of the cell vectors:
U1 0.0000 0.0000 0.0000
Ti1 0.5000 0.5000 0.2204
Ti2 0.5000 0.5000 0.7796
In1 0.0000 0.0000 0.5000

Spin magnetization ... 1.4 Bohr magnetons per cell
Excess energy over the best structure of this formula in the dataset ... 0.161 eV per formula unit
Raw total energy ... -7.369 eV/atom
Space group ... P4/mmm (123)

***

Here is a relaxed structure of LiCa2GaRh2 from the Alexandria database. Energies are from PBE.

Cell lengths 8.2394, 8.2394, 8.2394 Å; angles 139.31, 59.81, 138.12 degrees
Sites, in units of the cell vectors:
Li1 0.2500 0.2500 0.0000
Li2 0.7500 0.7500 0.0000
Ca1 0.1707 0.2486 0.4193
Ca2 0.3293 0.7486 0.0779
Ca3 0.6707 0.2514 0.9221
Ca4 0.8293 0.7514 0.5807
Ga1 0.2500 0.7500 0.5000
Ga2 0.7500 0.2500 0.5000
Rh1 0.1098 0.7348 0.8446
Rh2 0.3902 0.2348 0.6250
Rh3 0.6098 0.7652 0.3750
Rh4 0.8902 0.2652 0.1554

Spin magnetization ... 0.0 Bohr magnetons per cell
Raw total energy ... -4.384 eV/atom
Space group ... Ibam (72)

***

Here is a relaxed structure of Rb2ZrAlN from the Alexandria database. Energies are from PBE.

Cell lengths 6.2112, 6.2112, 4.1973 Å; angles 90.00, 90.00, 90.00 degrees
Sites, in units of the cell vectors:
Rb1 0.0000 0.5000 0.0000
Rb2 0.5000 0.0000 0.0000
Zr1 0.0000 0.0000 0.5000
Al1 0.5000 0.5000 0.5000
N1 0.0000 0.0000 0.0000

Spin magnetization ... 0.0 Bohr magnetons per cell
Raw total energy ... -4.102 eV/atom
Space group ... P4/mmm (123)

***

Here is a relaxed structure of Ce2NdHo from the Alexandria database. Energies are from PBE.

Cell lengths 3.4880, 3.4880, 10.2263 Å; angles 90.00, 90.00, 90.00 degrees
Sites, in units of the cell vectors:
Ce1 0.0000 0.0000 0.2460
Ce2 0.0000 0.0000 0.7540
Nd1 0.5000 0.5000 0.5000
Ho1 0.5000 0.5000 0.0000

Spin magnetization ... 1.6 Bohr magnetons per cell
Excess energy over the best structure of this formula in the dataset ... 0.036 eV per formula unit
Raw total energy ... -5.186 eV/atom
Space group ... P4/mmm (123)

***

Here is a relaxed structure of CoSi3 from the Alexandria database. Energies are from PBE.

Cell lengths 2.6885, 2.6885, 6.9290 Å; angles 90.00, 90.00, 90.00 degrees
Sites, in units of the cell vectors:
Co1 0.0000 0.0000 0.0000
Si1 0.0000 0.0000 0.5000
Si2 0.5000 0.5000 0.2143
Si3 0.5000 0.5000 0.7857

Spin magnetization ... 0.0 Bohr magnetons per cell
Raw total energy ... -5.848 eV/atom
Space group ... P4/mmm (123)

***

Here is a relaxed structure of KMnAsCl6 from the Alexandria database. Energies are from PBE.

Cell lengths 6.6131, 6.6131, 6.9818 Å; angles 90.00, 90.00, 120.00 degrees
Sites, in units of the cell vectors:
K1 0.0000 0.0000 0.0000
Mn1 0.3333 0.6667 0.5000
As1 0.6667 0.3333 0.5000
Cl1 0.3738 0.0018 0.7062
Cl2 0.3738 0.3720 0.2938
Cl3 0.6280 0.0018 0.2938
Cl4 0.6280 0.6262 0.7062
Cl5 0.9982 0.3720 0.7062
Cl6 0.9982 0.6262 0.2938

Spin magnetization ... 5.0 Bohr magnetons per cell
Raw total energy ... -3.996 eV/atom
Space group ... P312 (149)